The following is a GGA-PBEsol calculation of MgInMo2 after structural relaxation, from Alexandria via LeMat-Bulk.

Values from the calculation:
Total magnetic moment = 0.00 μB per formula unit
Formation energy from the elements = 0.5125 eV per atom
Theoretical density = 7.882 g/cm³
Distance to the lowest polymorph of the same formula = 0.91 eV/f.u.

abc: 9.734 9.734 9.734
angles: 17.12 17.12 17.12
Atoms (fractional coordinates):
Mg 0.000 0.000 0.000
In 0.500 0.500 0.500
Mo 0.250 0.250 0.250
Mo 0.750 0.750 0.750